Record 1
SCAN AlZn3, single point on PBEsol structure; M_tot = 0.00 μB/f.u.; calculated formation energy = 5 kJ per mole of atoms; calculated density = 6.25 g/cm3; symmetry = P-6m2 (187)
1.0
-2.4873 -0.8504 -0.6569
0.9712 -0.4474 2.4895
-3.5397 8.1546 2.8464
Zn Al
3 1
Direct
0.0000 0.0000 0.5000
0.3333 0.6667 0.7432
0.3333 0.6667 0.2568
0.0000 0.0000 0.0000

***

Record 2
SCAN BaAsPt2, single point on PBEsol structure; M_tot = 0.00 μB/f.u.; calculated formation energy = 2 kJ per mole of atoms; calculated density = 11.86 g/cm3; symmetry = P4/mmm (123)
1.0
3.8908 0.0000 0.0000
0.0000 4.6551 0.0000
0.0000 0.0000 4.6551
Ba As Pt
1 1 2
Direct
0.5000 0.0000 0.0000
0.5000 0.5000 0.5000
0.0000 0.0000 0.5000
0.0000 0.5000 0.0000

***

Record 3
SCAN ScNbSb2S, single point on PBEsol structure; M_tot = 0.00 μB/f.u.; uncorrected formation energy = -0.030 eV/atom; calculated density = 5.17 g/cm3; symmetry = P4/mmm (123)
1.0
-3.1487 -2.9232 1.4285
-0.5097 -1.9134 -5.0390
3.8570 -3.6651 1.0016
Sb Nb Sc S
2 1 1 1
Direct
0.0000 0.0000 0.5000
0.0000 0.5000 0.0000
0.0000 0.0000 0.0000
0.5000 0.5000 0.5000
0.5000 0.0000 0.0000

***

Record 4
SCAN Mn2BeTc, single point on PBEsol structure; M_tot = 3.13 μB/f.u.; calculated formation energy = -5 kJ per mole of atoms; calculated density = 8.16 g/cm3; symmetry = Pmmm (47)
1.0
3.0876 0.0000 0.0000
0.0000 3.7255 0.0000
0.0000 0.0000 3.8361
Mn Tc Be
2 1 1
Direct
0.5000 0.0000 0.5000
0.0000 0.0000 0.0000
0.5000 0.5000 0.0000
0.0000 0.5000 0.5000

***

Record 5
SCAN Na2Sn2Se5, single point on PBEsol structure; M_tot = 0.00 μB/f.u.; uncorrected formation energy = -0.698 eV/atom; calculated density = 4.53 g/cm3; symmetry = Pbca (61)
1.0
-5.4509 -10.0164 -2.1204
10.5568 -6.1661 1.9893
-3.1773 -1.1112 13.4171
Se Sn Na
40 16 16
Direct
0.0025 0.2448 0.2244
0.9286 0.3845 0.4315
0.4114 0.6195 0.5556
0.2562 0.4988 0.7932
0.0886 0.6195 0.0556
0.4286 0.6155 0.0685
0.7438 0.5012 0.2068
0.0714 0.6155 0.5685
0.4114 0.1195 0.9444
0.9114 0.3805 0.9444
0.5714 0.3845 0.9315
0.2624 0.8565 0.9311
0.7562 0.0012 0.7932
0.2376 0.8565 0.4311
0.9114 0.8805 0.5556
0.7624 0.6435 0.9311
0.4286 0.1155 0.4315
0.5886 0.8805 0.0556
0.5714 0.8845 0.5685
0.7562 0.5012 0.7068
0.5025 0.7552 0.2756
0.0025 0.7448 0.2756
0.0714 0.1155 0.9315
0.4975 0.2448 0.7244
0.4975 0.7448 0.7756
0.5886 0.3805 0.4444
0.5025 0.2552 0.2244
0.2438 0.4988 0.2932
0.2376 0.3565 0.0689
0.2624 0.3565 0.5689
0.7376 0.1435 0.0689
0.2562 0.9988 0.7068
0.0886 0.1195 0.4444
0.7624 0.1435 0.5689
0.7376 0.6435 0.4311
0.9975 0.2552 0.7244
0.2438 0.9988 0.2068
0.9975 0.7552 0.7756
0.7438 0.0012 0.2932
0.9286 0.8845 0.0685
0.0546 0.7831 0.9455
0.2380 0.5304 0.4702
0.7620 0.9696 0.9702
0.7380 0.4696 0.0298
0.5546 0.2169 0.5545
0.9454 0.2169 0.0545
0.4454 0.2831 0.0545
0.2380 0.0304 0.0298
0.4454 0.7831 0.4455
0.2620 0.0304 0.5298
0.2620 0.5304 0.9702
0.5546 0.7169 0.9455
0.9454 0.7169 0.4455
0.7380 0.9696 0.4702
0.7620 0.4696 0.5298
0.0546 0.2831 0.5545
0.2539 0.7453 0.2075
0.2461 0.7453 0.7075
0.5022 0.4962 0.7357
0.5022 0.9962 0.7643
0.4978 0.5038 0.2643
0.2461 0.2453 0.7925
0.0022 0.5038 0.7643
0.7461 0.7547 0.7075
0.7539 0.7547 0.2075
0.4978 0.0038 0.2357
0.9978 0.9962 0.2643
0.7539 0.2547 0.2925
0.7461 0.2547 0.7925
0.0022 0.0038 0.7357
0.9978 0.4962 0.2357
0.2539 0.2453 0.2925

***

Record 6
SCAN AlCrGePb2, single point on PBEsol structure; M_tot = 4.70 μB/f.u.; calculated formation energy = 75 kJ per mole of atoms; calculated density = 6.65 g/cm3; symmetry = P4/mmm (123)
1.0
-2.5231 2.6114 3.0962
2.0031 -2.9438 4.1152
4.1620 3.4755 0.4604
Cr Al Ge Pb
1 1 1 2
Direct
0.5000 0.5000 0.5000
0.5000 0.0000 0.0000
0.0000 0.0000 0.0000
0.0000 0.5000 0.0000
0.0000 0.0000 0.5000